1.
An optimized crystal structure of MgSc2Se. Source: Alexandria via LeMat-Bulk, functional GGA-PBEsol.

Structure (CIF):
```
data_MgSc2Se
_chemical_formula_sum 'Mg1 Sc2 Se1'
_cell_length_a 3.712
_cell_length_b 3.712
_cell_length_c 6.049
_cell_angle_alpha 90.00
_cell_angle_beta 90.00
_cell_angle_gamma 90.00
_space_group_name_H-M_alt 'P 4 m m'
_space_group_IT_number 99
loop_
_space_group_symop_operation_xyz
'x,y,z'
'-y,x,z'
'-x,-y,z'
'y,-x,z'
'-x,y,z'
'y,x,z'
'x,-y,z'
'-y,-x,z'
loop_
_atom_site_label
_atom_site_type_symbol
_atom_site_fract_x
_atom_site_fract_y
_atom_site_fract_z
_atom_site_occupancy
Mg1 Mg 0.000 0.000 0.000 1
Sc1 Sc 0.000 0.000 0.507 1
Sc2 Sc 0.500 0.500 0.240 1
Se1 Se 0.500 0.500 0.701 1
```

E above lowest polymorph: 20.7 kJ/mol of atoms
Formation energy (no corrections): -0.576 eV per atom


2.
An optimized crystal structure of MgSc2Se. Source: Alexandria via LeMat-Bulk, functional GGA-PBEsol.

Structure (CIF):
```
data_MgSc2Se
_chemical_formula_sum 'Mg2 Sc4 Se2'
_cell_length_a 4.025
_cell_length_b 4.025
_cell_length_c 10.052
_cell_angle_alpha 90.00
_cell_angle_beta 90.00
_cell_angle_gamma 90.00
_space_group_name_H-M_alt 'I -4 m 2'
_space_group_IT_number 119
_space_group_name_Hall 'I -4 -2'
loop_
_atom_site_label
_atom_site_type_symbol
_atom_site_fract_x
_atom_site_fract_y
_atom_site_fract_z
_atom_site_occupancy
Mg1 Mg 0.000 0.000 0.000 1
Sc1 Sc 0.000 0.000 0.500 1
Sc2 Sc 0.000 0.500 0.250 1
Se1 Se 0.000 0.500 0.750 1
```

E above lowest polymorph: 26.4 kJ/mol of atoms
Formation energy (no corrections): -0.517 eV per atom


3.
An optimized crystal structure of MgSc3Si. Source: Alexandria via LeMat-Bulk, functional GGA-PBEsol.

Structure (CIF):
```
data_MgSc3Si
_chemical_formula_sum 'Mg1 Sc3 Si1'
_cell_length_a 5.032
_cell_length_b 5.032
_cell_length_c 5.032
_cell_angle_alpha 90.00
_cell_angle_beta 90.00
_cell_angle_gamma 90.00
_space_group_name_H-M_alt 'P m -3 m'
_space_group_IT_number 221
_space_group_name_Hall '-P 4 2 3'
loop_
_atom_site_label
_atom_site_type_symbol
_atom_site_fract_x
_atom_site_fract_y
_atom_site_fract_z
_atom_site_occupancy
Mg1 Mg 0.000 0.000 0.000 1
Sc1 Sc 0.000 0.500 0.500 1
Si1 Si 0.500 0.500 0.500 1
```

Formation energy (no corrections): -0.057 eV per atom


4.
An optimized crystal structure of MgSc2Si. Source: Alexandria via LeMat-Bulk, functional GGA-PBEsol.

Structure (CIF):
```
data_MgSc2Si
_chemical_formula_sum 'Mg1 Sc2 Si1'
_cell_length_a 4.369
_cell_length_b 4.369
_cell_length_c 3.967
_cell_angle_alpha 90.00
_cell_angle_beta 90.00
_cell_angle_gamma 90.00
_space_group_name_H-M_alt 'P 4/m m m'
_space_group_IT_number 123
_space_group_name_Hall '-P 4 2'
loop_
_atom_site_label
_atom_site_type_symbol
_atom_site_fract_x
_atom_site_fract_y
_atom_site_fract_z
_atom_site_occupancy
Mg1 Mg 0.000 0.000 0.000 1
Sc1 Sc 0.000 0.500 0.500 1
Si1 Si 0.500 0.500 0.000 1
```

Formation energy (no corrections): -0.388 eV per atom


5.
An optimized crystal structure of MgSc2Si. Source: Alexandria via LeMat-Bulk, functional GGA-PBEsol.

Structure (CIF):
```
data_MgSc2Si
_chemical_formula_sum 'Mg2 Sc4 Si2'
_cell_length_a 4.350
_cell_length_b 4.350
_cell_length_c 7.968
_cell_angle_alpha 90.00
_cell_angle_beta 90.00
_cell_angle_gamma 90.00
_space_group_name_H-M_alt 'I 4/m m m'
_space_group_IT_number 139
_space_group_name_Hall '-I 4 2'
loop_
_atom_site_label
_atom_site_type_symbol
_atom_site_fract_x
_atom_site_fract_y
_atom_site_fract_z
_atom_site_occupancy
Mg1 Mg 0.000 0.000 0.000 1
Sc1 Sc 0.000 0.500 0.250 1
Si1 Si 0.000 0.000 0.500 1
```

Formation energy (no corrections): -0.353 eV per atom


6.
An optimized crystal structure of MgSc2Si. Source: Alexandria via LeMat-Bulk, functional GGA-PBEsol.

Structure (CIF):
```
data_MgSc2Si
_chemical_formula_sum 'Mg2 Sc4 Si2'
_cell_length_a 4.283
_cell_length_b 3.360
_cell_length_c 11.046
_cell_angle_alpha 90.00
_cell_angle_beta 90.00
_cell_angle_gamma 90.00
_space_group_name_H-M_alt 'A m m 2'
_space_group_IT_number 38
loop_
_space_group_symop_operation_xyz
'x,y,z'
'-x,-y,z'
'-x,y,z'
'x,-y,z'
'x,y+1/2,z+1/2'
'-x,-y+1/2,z+1/2'
'-x,y+1/2,z+1/2'
'x,-y+1/2,z+1/2'
loop_
_atom_site_label
_atom_site_type_symbol
_atom_site_fract_x
_atom_site_fract_y
_atom_site_fract_z
_atom_site_occupancy
Mg1 Mg 0.000 0.000 0.000 1
Sc1 Sc 0.000 0.000 0.728 1
Sc2 Sc 0.500 0.000 0.402 1
Si1 Si 0.500 0.000 0.144 1
```

Formation energy (no corrections): -0.304 eV per atom


7.
An optimized crystal structure of MgScSi3. Source: Alexandria via LeMat-Bulk, functional GGA-PBEsol.

Structure (CIF):
```
data_MgScSi3
_chemical_formula_sum 'Mg1 Sc1 Si3'
_cell_length_a 4.744
_cell_length_b 4.744
_cell_length_c 4.744
_cell_angle_alpha 90.00
_cell_angle_beta 90.00
_cell_angle_gamma 90.00
_space_group_name_H-M_alt 'P m -3 m'
_space_group_IT_number 221
_space_group_name_Hall '-P 4 2 3'
loop_
_atom_site_label
_atom_site_type_symbol
_atom_site_fract_x
_atom_site_fract_y
_atom_site_fract_z
_atom_site_occupancy
Mg1 Mg 0.000 0.000 0.000 1
Sc1 Sc 0.500 0.500 0.500 1
Si1 Si 0.000 0.000 0.500 1
```

Formation energy (no corrections): 0.802 eV per atom


8.
An optimized crystal structure of MgSc2Si. Source: Alexandria via LeMat-Bulk, functional GGA-PBEsol.

Structure (CIF):
```
data_MgSc2Si
_chemical_formula_sum 'Mg1 Sc2 Si1'
_cell_length_a 3.179
_cell_length_b 3.812
_cell_length_c 6.367
_cell_angle_alpha 90.00
_cell_angle_beta 90.00
_cell_angle_gamma 90.00
_space_group_name_H-M_alt 'P m m m'
_space_group_IT_number 47
loop_
_space_group_symop_operation_xyz
'x,y,z'
'-x,-y,-z'
'-x,-y,z'
'x,y,-z'
'x,-y,-z'
'-x,y,z'
'-x,y,-z'
'x,-y,z'
loop_
_atom_site_label
_atom_site_type_symbol
_atom_site_fract_x
_atom_site_fract_y
_atom_site_fract_z
_atom_site_occupancy
Mg1 Mg 0.000 0.000 0.000 1
Sc1 Sc 0.500 0.500 0.273 1
Si1 Si 0.000 0.000 0.500 1
```

Formation energy (no corrections): -0.393 eV per atom


| no. | calculated density (kg/m3) |
| --- | --- |
| 1 | 3848 |
| 2 | 3940 |
| 3 | 2441 |
| 4 | 3121 |
| 5 | 3134 |
| 6 | 2973 |
| 7 | 2388 |
| 8 | 3062 |